Material: CrWCl2
Method: DFT, PBE-GGA
State: relaxed

Computed properties:
* total energy: -22.598 eV/f.u.
* Fermi-level density of states: 4.2 states/eV/f.u.
* total moment: 2.31 μB per formula unit
* ΔE_f (raw): 0.92 eV per atom
* energy relative to the lowest polymorph listed for this composition: 1080 meV/atom

a b c (Å): 2.9346 2.9346 9.4841
angles (deg): 90.00 90.00 90.00
Space group P4/mmm (No. 123)
Unique sites:
Cr1 0.0000 0.0000 0.0000 x1
W1 0.0000 0.0000 0.5000 x1
Cl1 0.5000 0.5000 0.1645 x2